{"formula": "TbEr3Os", "functional": "PBE", "state": "relaxed", "lattice": [[8.614, -1.789, 0.000], [8.614, 1.789, 0.000], [-2.581, 0.000, 9.118]], "species": ["Tb", "Tb", "Er", "Er", "Er", "Er", "Er", "Er", "Os", "Os"], "fractional_positions": [[0.193, 0.193, 0.307], [0.807, 0.807, 0.693], [0.185, 0.185, 0.872], [0.402, 0.402, 0.458], [0.499, 0.499, 0.824], [0.501, 0.501, 0.176], [0.598, 0.598, 0.542], [0.815, 0.815, 0.128], [0.363, 0.363, 0.935], [0.637, 0.637, 0.065]], "ef_ev_per_atom": 0.011, "sg": "C2/m", "de_polymorph_mev_per_atom": 145.1, "dft_energy_ev_per_cell": -58.98}